This record from the Alexandria database describes a relaxed structure of K2NaV3F12. The functional is GGA+U.

abc: 7.3001 7.3001 7.3001
angles: 62.72 62.72 62.72
Last column: nearest neighbours and their distance in Å.
Fractional positions:
K1 0.6315 0.6315 0.6315  3 F 2.69
K2 0.3685 0.3685 0.3685  3 F 2.69
Na1 0.0000 0.0000 0.0000  6 F 2.44
V1 0.5000 0.0000 0.0000  6 F 1.92-2.00
V2 0.0000 0.5000 0.0000  6 F 1.92-2.00
V3 0.0000 0.0000 0.5000  6 F 1.92-2.00
F1 0.2937 0.2937 0.9050  2 V 2.00
F2 0.8876 0.8876 0.3955  1 V 1.92
F3 0.3955 0.8876 0.8876  1 V 1.92
F4 0.9050 0.2937 0.2937  2 V 2.00
F5 0.8876 0.3955 0.8876  1 V 1.92
F6 0.2937 0.9050 0.2937  2 V 2.00
F7 0.7063 0.7063 0.0950  2 V 2.00
F8 0.1124 0.1124 0.6045  1 V 1.92
F9 0.6045 0.1124 0.1124  1 V 1.92
F10 0.0950 0.7063 0.7063  2 V 2.00
F11 0.1124 0.6045 0.1124  1 V 1.92
F12 0.7063 0.0950 0.7063  2 V 2.00

Summary:
Total magnetization (μB/f.u.): 6.00
Calculated volume (Å³/atom): 16.209
E_tot (eV/atom): -5.578
Crystal system: trigonal
DOS(E_F) (states/eV per cell): 0.0
Space group: R-3m (166)